A plane-wave DFT calculation with PBE-GGA was carried out for TlAg2Te2Au after structural relaxation.

space-group type	Pnnm
uncorrected formation energy	-72	kJ/mol of formula units
DOS at the Fermi energy	1.225	states/eV/cell

a = 5.070 Å, b = 7.098 Å, c = 9.594 Å
α = 90.00°, β = 90.00°, γ = 90.00°
Atoms (fractional coordinates):
Te: 0.500 0.769 0.310
Te: 0.000 0.269 0.190
Te: 0.000 0.731 0.810
Te: 0.500 0.231 0.690
Ag: 0.500 0.186 0.305
Ag: 0.000 0.314 0.805
Ag: 0.500 0.814 0.695
Ag: 0.000 0.686 0.195
Au: 0.000 0.000 0.000
Au: 0.500 0.500 0.500
Tl: 0.000 0.000 0.500
Tl: 0.500 0.500 0.000

---

A plane-wave DFT calculation with PBE-GGA was carried out for TlAgTeAu after structural relaxation.

space-group type	P4/nmm
uncorrected formation energy	-17	kJ/mol of formula units
DOS at the Fermi energy	3.988	states/eV/cell

a = 4.074 Å, b = 4.074 Å, c = 12.875 Å
α = 90.00°, β = 90.00°, γ = 90.00°
Atoms (fractional coordinates):
Au: 0.750 0.250 0.500
Au: 0.250 0.750 0.500
Tl: 0.750 0.750 0.307
Tl: 0.250 0.250 0.693
Te: 0.750 0.750 0.842
Te: 0.250 0.250 0.158
Ag: 0.250 0.750 0.000
Ag: 0.750 0.250 0.000

---

A plane-wave DFT calculation with PBE-GGA was carried out for U3Ag3Te8Au after structural relaxation.

space-group type	C2/m
uncorrected formation energy	-379	kJ/mol of formula units
DOS at the Fermi energy	18.574	states/eV/cell

a = 8.935 Å, b = 8.560 Å, c = 8.494 Å
α = 119.04°, β = 90.00°, γ = 121.46°
Each line ends with the local moment (μB).
Atoms (fractional coordinates):
Ag: 0.000 0.500 0.000  -0.02
Ag: 0.000 0.000 0.000  -0.02
Ag: 0.500 0.500 0.000  -0.02
Te: 0.268 0.999 0.237  -0.09
Te: 0.243 0.487 0.240  -0.07
Te: 0.227 0.454 0.733  -0.06
Te: 0.732 0.001 0.763  -0.09
Te: 0.773 0.546 0.267  -0.06
Te: 0.268 0.001 0.763  -0.09
Te: 0.732 0.999 0.237  -0.09
Te: 0.757 0.513 0.760  -0.07
U: 0.500 0.500 0.500  2.32
U: 0.500 0.000 0.500  2.25
U: 0.000 0.500 0.500  2.32
Au: 0.000 0.000 0.500  -0.04

---

A plane-wave DFT calculation with PBE-GGA was carried out for UAg2Te4Au after structural relaxation.

space-group type	Cmcm
uncorrected formation energy	-124	kJ/mol of formula units
DOS at the Fermi energy	12.411	states/eV/cell

a = 4.040 Å, b = 7.236 Å, c = 15.260 Å
α = 90.00°, β = 90.00°, γ = 106.21°
Each line ends with the local moment (μB).
Atoms (fractional coordinates):
U: 0.853 0.707 0.250  2.07
U: 0.147 0.293 0.750  2.07
Te: 0.478 0.955 0.750  -0.07
Te: 0.000 0.000 0.000  -0.09
Te: 0.294 0.587 0.395  -0.08
Te: 0.000 0.000 0.500  -0.09
Te: 0.294 0.587 0.105  -0.08
Te: 0.706 0.413 0.895  -0.08
Te: 0.706 0.413 0.605  -0.08
Te: 0.522 0.045 0.250  -0.07
Ag: 0.376 0.752 0.582  -0.02
Ag: 0.624 0.248 0.418  -0.02
Ag: 0.624 0.248 0.082  -0.02
Ag: 0.376 0.752 0.918  -0.02
Au: 0.831 0.662 0.750  -0.03
Au: 0.169 0.338 0.250  -0.03

---

A plane-wave DFT calculation with PBE-GGA was carried out for ThAgAu after structural relaxation.

space-group type	P-6m2
energy relative to the elements	-43.4	kJ/mol of atoms
energy above the lowest structure with this stoichiometry	0.004	eV/atom
DOS at the Fermi energy	1.783	states/eV/cell

a = 3.417 Å, b = 4.843 Å, c = 4.843 Å
α = 120.00°, β = 90.00°, γ = 90.00°
Each line ends with the local moment (μB).
Atoms (fractional coordinates):
Ag: 0.166 0.000 0.000  0.00
Th: 0.667 0.667 0.333  0.08
Au: 0.167 0.333 0.667  0.00

---

A plane-wave DFT calculation with PBE-GGA was carried out for Th4AgAu3 after structural relaxation.

space-group type	Pmm2
energy relative to the elements	-45.1	kJ/mol of atoms
DOS at the Fermi energy	10.058	states/eV/cell

a = 3.812 Å, b = 4.577 Å, c = 12.044 Å
α = 90.00°, β = 90.00°, γ = 90.00°
Atoms (fractional coordinates):
Th: 0.500 0.000 0.651
Th: 0.000 0.500 0.846
Th: 0.000 0.000 0.155
Th: 0.500 0.500 0.349
Au: 0.000 0.500 0.576
Au: 0.500 0.000 0.927
Au: 0.000 0.000 0.425
Ag: 0.500 0.500 0.072